No. 1
YPuHgBi: relaxed, PBE.

Properties
For the formation energy, the calculation gives -8.68 kcal/mol of atoms.

a = 7.6394 Å, b = 7.6394 Å, c = 7.6394 Å
α = 90.00°, β = 90.00°, γ = 90.00°
Space group F-43m (No. 216)
Unique sites:
Y (0.0000, 0.0000, 0.0000) (multiplicity 4)
Pu (0.0000, 0.0000, 0.5000) (multiplicity 4)
Hg (0.2500, 0.2500, 0.2500) (multiplicity 4)
Bi (0.2500, 0.2500, 0.7500) (multiplicity 4)



No. 2
Ti3BeC: relaxed, PBE.

Properties
The calculation puts the relative energy among the computed polymorphs at 0 meV/atom. For the formation energy, the calculation gives -7.68 kcal/mol of atoms.

a = 4.1167 Å, b = 4.1167 Å, c = 4.1167 Å
α = 90.00°, β = 90.00°, γ = 90.00°
Space group Pm-3m (No. 221)
Unique sites:
Ti (0.0000, 0.0000, 0.5000) (multiplicity 3)
Be (0.5000, 0.5000, 0.5000) (multiplicity 1)
C (0.0000, 0.0000, 0.0000) (multiplicity 1)



No. 3
Tb14YTh: relaxed, PBE.

Properties
For the formation energy, the calculation gives 0.38 kcal/mol of atoms.

a = 7.1266 Å, b = 7.1266 Å, c = 10.0753 Å
α = 90.00°, β = 90.00°, γ = 90.00°
Space group P4/mmm (No. 123)
Unique sites:
Tb (0.0000, 0.0000, 0.0000) (multiplicity 1)
Tb (0.0000, 0.5000, 0.0000) (multiplicity 2)
Tb (0.0000, 0.5000, 0.5000) (multiplicity 2)
Tb (0.2477, 0.2477, 0.2512) (multiplicity 8)
Tb (0.5000, 0.5000, 0.0000) (multiplicity 1)
Y (0.5000, 0.5000, 0.5000) (multiplicity 1)
Th (0.0000, 0.0000, 0.5000) (multiplicity 1)



No. 4
Ce3Zn8Hg: relaxed, PBE.

Properties
For the formation energy, the calculation gives -4.79 kcal/mol of atoms.

a = 5.4951 Å, b = 5.4951 Å, c = 26.9631 Å
α = 90.00°, β = 90.00°, γ = 120.00°
Space group R3m (No. 160, hexagonal axes)
Unique sites:
Ce (0.0000, 0.0000, 0.0000) (multiplicity 3)
Ce (0.0000, 0.0000, 0.1271) (multiplicity 3)
Ce (0.0000, 0.0000, 0.6234) (multiplicity 3)
Zn (0.0000, 0.0000, 0.3131) (multiplicity 3)
Zn (0.0000, 0.0000, 0.8122) (multiplicity 3)
Zn (0.1677, 0.3354, 0.8965) (multiplicity 9)
Zn (0.1681, 0.3362, 0.3952) (multiplicity 9)
Hg (0.0000, 0.0000, 0.4973) (multiplicity 3)



No. 5
TiTl2V2Te6: relaxed, PBE.

Properties
The calculation puts the formation energy without anion corrections at -38 kJ per mole of atoms.

a = 6.7625 Å, b = 11.7422 Å, c = 8.7004 Å
α = 90.00°, β = 105.72°, γ = 90.00°
Space group C2/m (No. 12)
Unique sites:
Ti (0.0000, 0.0000, 0.0000) (multiplicity 2)
Tl (0.0000, 0.1580, 0.5000) (multiplicity 4)
V (0.0000, 0.3202, 0.0000) (multiplicity 4)
Te (0.2205, 0.5000, 0.1834) (multiplicity 4)
Te (0.2412, 0.1647, 0.1990) (multiplicity 8)



No. 6
AlPbW: relaxed, PBE.

Properties
The calculation puts the relative energy among the computed polymorphs at 474 meV/atom. For the formation energy, the calculation gives 23.52 kcal/mol of atoms.

a = 6.5045 Å, b = 6.5045 Å, c = 6.5045 Å
α = 90.00°, β = 90.00°, γ = 90.00°
Space group F-43m (No. 216)
Unique sites:
Al (0.0000, 0.0000, 0.0000) (multiplicity 4)
Pb (0.0000, 0.0000, 0.5000) (multiplicity 4)
W (0.2500, 0.2500, 0.7500) (multiplicity 4)



No. 7
Hf2RePtSe: relaxed, PBE.

Properties
The calculation puts the formation energy without anion corrections at 59 kJ per mole of atoms.

a = 5.0846 Å, b = 5.0846 Å, c = 4.7295 Å
α = 90.00°, β = 90.00°, γ = 90.00°
Space group P4/mmm (No. 123)
Unique sites:
Hf (0.0000, 0.5000, 0.0000) (multiplicity 2)
Re (0.0000, 0.0000, 0.0000) (multiplicity 1)
Pt (0.0000, 0.0000, 0.5000) (multiplicity 1)
Se (0.5000, 0.5000, 0.5000) (multiplicity 1)



No. 8
Ho3ZnPt: relaxed, PBE.

Properties
The calculation puts the relative energy among the computed polymorphs at 0 meV/atom. For the formation energy, the calculation gives -14.73 kcal/mol of atoms.

a = 4.9442 Å, b = 19.3972 Å, c = 4.9338 Å
α = 90.00°, β = 90.00°, γ = 90.00°
Space group Cmcm (No. 63)
Unique sites:
Ho (0.0000, 0.0679, 0.2500) (multiplicity 4)
Ho (0.0000, 0.2497, 0.2500) (multiplicity 4)
Ho (0.0000, 0.4301, 0.2500) (multiplicity 4)
Zn (0.0000, 0.1568, 0.7500) (multiplicity 4)
Pt (0.0000, 0.3370, 0.7500) (multiplicity 4)



no.,total magnetic moment (μB/cell)
1,27.67
2,0.00
3,0.00
4,7.18
5,8.36
6,4.99
7,0.00
8,0.17